# 1
An optimized crystal structure of KBe3I. Source: the Alexandria database, functional GGA-PBE.

The symmetry is No. 221. The energy above the most stable polymorph in this dataset is 0.00 eV per formula unit. The calculation puts the uncorrected formation energy at 1514 meV/atom. Its total energy is -1.252 eV/atom.

extended XYZ file:
```
5
Lattice="5.1877 0.0000 0.0000 0.0000 5.1877 0.0000 0.0000 0.0000 5.1877" Properties=species:S:1:pos:R:3 pbc="T T T"
I 0.0000 0.0000 0.0000
Be 0.0000 2.5938 0.0000
Be 0.0000 0.0000 2.5938
Be 2.5938 0.0000 0.0000
K 2.5938 2.5938 2.5938
```

# 2
An optimized crystal structure of Nb3GaTc. Source: the Alexandria database, functional GGA-PBE.

The symmetry is No. 221. The energy above the most stable polymorph in this dataset is 0.00 eV per formula unit. Its total energy is -7.750 eV/atom. For the calculated formation energy, the calculation gives 0.97 eV/atom.

extended XYZ file:
```
5
Lattice="4.8044 0.0000 0.0000 0.0000 4.8044 0.0000 0.0000 0.0000 4.8044" Properties=species:S:1:pos:R:3 pbc="T T T"
Nb 0.0000 2.4022 0.0000
Nb 0.0000 0.0000 2.4022
Nb 2.4022 0.0000 0.0000
Tc 0.0000 0.0000 0.0000
Ga 2.4022 2.4022 2.4022
```

# 3
An optimized crystal structure of BeAsSe2O. Source: the Alexandria database, functional GGA-PBE.

The symmetry is No. 123. The energy above the most stable polymorph in this dataset is 0.00 eV per formula unit. The calculation puts the uncorrected formation energy at 722 meV/atom. Its total energy is -3.339 eV/atom.

extended XYZ file:
```
5
Lattice="4.3952 0.0000 0.0000 0.0000 4.3952 0.0000 0.0000 0.0000 4.4340" Properties=species:S:1:pos:R:3 pbc="T T T"
Be 2.1976 2.1976 2.2170
As 0.0000 0.0000 2.2170
O 0.0000 0.0000 0.0000
Se 0.0000 2.1976 0.0000
Se 2.1976 0.0000 0.0000
```

Repeat the first record exactly.
An optimized crystal structure of KBe3I. Source: the Alexandria database, functional GGA-PBE.

The symmetry is No. 221. The energy above the most stable polymorph in this dataset is 0.00 eV per formula unit. The calculation puts the uncorrected formation energy at 1514 meV/atom. Its total energy is -1.252 eV/atom.

extended XYZ file:
```
5
Lattice="5.1877 0.0000 0.0000 0.0000 5.1877 0.0000 0.0000 0.0000 5.1877" Properties=species:S:1:pos:R:3 pbc="T T T"
I 0.0000 0.0000 0.0000
Be 0.0000 2.5938 0.0000
Be 0.0000 0.0000 2.5938
Be 2.5938 0.0000 0.0000
K 2.5938 2.5938 2.5938
```